Record 1
Below is a relaxed AcCeBi2 crystal, with properties calculated at the PBE-GGA level.

Computed properties:
DFT total energy ... -20.522 eV per formula unit
Symmetry ... Fm-3m (225)
Total moment ... 1.12 μB per formula unit
Relative energy among the computed polymorphs ... 180 meV/atom

CIF file:
```
data_AcCeBi2
_chemical_formula_sum 'Ac1 Ce1 Bi2'
_cell_length_a 5.760
_cell_length_b 5.760
_cell_length_c 5.760
_cell_angle_alpha 60.00
_cell_angle_beta 60.00
_cell_angle_gamma 60.00
_symmetry_space_group_name_H-M 'P 1'
_symmetry_Int_Tables_number 1
loop_
_symmetry_equiv_pos_as_xyz
'x,y,z'
loop_
_atom_site_label
_atom_site_type_symbol
_atom_site_fract_x
_atom_site_fract_y
_atom_site_fract_z
_atom_site_occupancy
Ce1 Ce 0.500 0.500 0.500 1
Ac1 Ac 0.000 0.000 0.000 1
Bi1 Bi 0.750 0.750 0.750 1
Bi2 Bi 0.250 0.250 0.250 1
```

---

Record 2
Below is a relaxed TcMo3 crystal, with properties calculated at the PBE-GGA level.

Computed properties:
DFT total energy ... -41.766 eV per formula unit
Symmetry ... R-3m (166)
Total moment ... 0.00 μB per formula unit
Relative energy among the computed polymorphs ... 251 meV/atom

CIF file:
```
data_TcMo3
_chemical_formula_sum 'Tc1 Mo3'
_cell_length_a 2.790
_cell_length_b 9.449
_cell_length_c 2.790
_cell_angle_alpha 98.49
_cell_angle_beta 60.00
_cell_angle_gamma 98.49
_symmetry_space_group_name_H-M 'P 1'
_symmetry_Int_Tables_number 1
loop_
_symmetry_equiv_pos_as_xyz
'x,y,z'
loop_
_atom_site_label
_atom_site_type_symbol
_atom_site_fract_x
_atom_site_fract_y
_atom_site_fract_z
_atom_site_occupancy
Mo1 Mo 0.497 0.490 0.497 1
Mo2 Mo 0.250 0.750 0.250 1
Mo3 Mo 0.003 0.010 0.003 1
Tc1 Tc 0.750 0.250 0.750 1
```

---

Record 3
Below is a relaxed YTmTe2O8 crystal, with properties calculated at the PBE-GGA level.

Computed properties:
Raw formation energy ... -1.95 eV per atom
DFT total energy ... -80.250 eV per formula unit
Symmetry ... I-4m2 (119)
Total moment ... 0.00 μB per formula unit

CIF file:
```
data_YTmTe2O8
_chemical_formula_sum 'Y1 Tm1 Te2 O8'
_cell_length_a 6.203
_cell_length_b 6.203
_cell_length_c 6.203
_cell_angle_alpha 107.72
_cell_angle_beta 107.72
_cell_angle_gamma 113.03
_symmetry_space_group_name_H-M 'P 1'
_symmetry_Int_Tables_number 1
loop_
_symmetry_equiv_pos_as_xyz
'x,y,z'
loop_
_atom_site_label
_atom_site_type_symbol
_atom_site_fract_x
_atom_site_fract_y
_atom_site_fract_z
_atom_site_occupancy
O1 O 0.361 0.045 0.316 1
O2 O 0.955 0.271 0.316 1
O3 O 0.514 0.702 0.812 1
O4 O 0.729 0.045 0.684 1
O5 O 0.298 0.486 0.188 1
O6 O 0.955 0.639 0.684 1
O7 O 0.890 0.702 0.188 1
O8 O 0.298 0.110 0.812 1
Y1 Y 0.000 0.000 0.000 1
Te1 Te 0.750 0.250 0.500 1
Te2 Te 0.500 0.500 0.000 1
Tm1 Tm 0.250 0.750 0.500 1
```

---

Record 4
Below is a relaxed Sc5Ga2 crystal, with properties calculated at the PBE-GGA level.

Computed properties:
DFT total energy ... -40.211 eV per formula unit
Symmetry ... Ibam (72)
Total moment ... 0.00 μB per formula unit

CIF file:
```
data_Sc5Ga2
_chemical_formula_sum 'Sc10 Ga4'
_cell_length_a 6.034
_cell_length_b 7.414
_cell_length_c 8.239
_cell_angle_alpha 116.74
_cell_angle_beta 111.48
_cell_angle_gamma 90.00
_symmetry_space_group_name_H-M 'P 1'
_symmetry_Int_Tables_number 1
loop_
_symmetry_equiv_pos_as_xyz
'x,y,z'
loop_
_atom_site_label
_atom_site_type_symbol
_atom_site_fract_x
_atom_site_fract_y
_atom_site_fract_z
_atom_site_occupancy
Ga1 Ga 0.627 0.348 0.254 1
Ga2 Ga 0.873 0.094 0.746 1
Ga3 Ga 0.373 0.652 0.746 1
Ga4 Ga 0.127 0.906 0.254 1
Sc1 Sc 0.086 0.246 0.172 1
Sc2 Sc 0.250 0.500 0.000 1
Sc3 Sc 0.521 0.271 0.542 1
Sc4 Sc 0.586 0.926 0.172 1
Sc5 Sc 0.750 0.500 0.000 1
Sc6 Sc 0.414 0.074 0.828 1
Sc7 Sc 0.914 0.754 0.828 1
Sc8 Sc 0.021 0.271 0.542 1
Sc9 Sc 0.479 0.729 0.458 1
Sc10 Sc 0.979 0.729 0.458 1
```

---

Record 5
Below is a relaxed AlZn3N crystal, with properties calculated at the PBE-GGA level.

Computed properties:
Raw formation energy ... 0.44 eV per atom
DFT total energy ... -13.684 eV per formula unit
Symmetry ... Pm-3m (221)
Total moment ... 0.00 μB per formula unit
Relative energy among the computed polymorphs ... 0 meV/atom

CIF file:
```
data_AlZn3N
_chemical_formula_sum 'Al1 Zn3 N1'
_cell_length_a 4.210
_cell_length_b 4.210
_cell_length_c 4.210
_cell_angle_alpha 90.00
_cell_angle_beta 90.00
_cell_angle_gamma 90.00
_symmetry_space_group_name_H-M 'P 1'
_symmetry_Int_Tables_number 1
loop_
_symmetry_equiv_pos_as_xyz
'x,y,z'
loop_
_atom_site_label
_atom_site_type_symbol
_atom_site_fract_x
_atom_site_fract_y
_atom_site_fract_z
_atom_site_occupancy
Zn1 Zn 0.000 0.000 0.500 1
Zn2 Zn 0.000 0.500 0.000 1
Zn3 Zn 0.500 0.000 0.000 1
N1 N 0.000 0.000 0.000 1
Al1 Al 0.500 0.500 0.500 1
```

---

Record 6
Below is a relaxed Nd8YEr4 crystal, with properties calculated at the PBE-GGA level.

Computed properties:
DFT total energy ... -60.292 eV per formula unit
Symmetry ... R-3m (166)
Total moment ... 0.00 μB per formula unit

CIF file:
```
data_Nd8YEr4
_chemical_formula_sum 'Nd8 Y1 Er4'
_cell_length_a 7.272
_cell_length_b 7.272
_cell_length_c 10.541
_cell_angle_alpha 90.00
_cell_angle_beta 110.18
_cell_angle_gamma 120.00
_symmetry_space_group_name_H-M 'P 1'
_symmetry_Int_Tables_number 1
loop_
_symmetry_equiv_pos_as_xyz
'x,y,z'
loop_
_atom_site_label
_atom_site_type_symbol
_atom_site_fract_x
_atom_site_fract_y
_atom_site_fract_z
_atom_site_occupancy
Nd1 Nd 0.504 0.752 0.710 1
Nd2 Nd 0.042 0.794 0.290 1
Nd3 Nd 0.958 0.752 0.710 1
Nd4 Nd 0.575 0.788 0.363 1
Nd5 Nd 0.496 0.248 0.290 1
Nd6 Nd 0.042 0.248 0.290 1
Nd7 Nd 0.425 0.212 0.637 1
Nd8 Nd 0.958 0.206 0.710 1
Er1 Er 0.000 0.000 0.000 1
Er2 Er 0.000 0.500 0.000 1
Er3 Er 0.500 0.000 0.000 1
Er4 Er 0.500 0.500 0.000 1
Y1 Y 0.000 0.500 0.500 1
```

---

Record 7
Below is a relaxed TaSiP2 crystal, with properties calculated at the PBE-GGA level.

Computed properties:
Raw formation energy ... -0.20 eV per atom
DFT total energy ... -28.891 eV per formula unit
Symmetry ... R-3m (166)
Total moment ... 0.00 μB per formula unit

CIF file:
```
data_TaSiP2
_chemical_formula_sum 'Ta1 Si1 P2'
_cell_length_a 6.619
_cell_length_b 6.619
_cell_length_c 6.619
_cell_angle_alpha 29.61
_cell_angle_beta 29.61
_cell_angle_gamma 29.61
_symmetry_space_group_name_H-M 'P 1'
_symmetry_Int_Tables_number 1
loop_
_symmetry_equiv_pos_as_xyz
'x,y,z'
loop_
_atom_site_label
_atom_site_type_symbol
_atom_site_fract_x
_atom_site_fract_y
_atom_site_fract_z
_atom_site_occupancy
P1 P 0.994 0.994 0.994 1
P2 P 0.506 0.506 0.506 1
Ta1 Ta 0.750 0.750 0.750 1
Si1 Si 0.250 0.250 0.250 1
```

---

Record 8
Below is a relaxed HgRhPb2 crystal, with properties calculated at the PBE-GGA level.

Computed properties:
DFT total energy ... -14.944 eV per formula unit
Symmetry ... Immm (71)
Total moment ... 0.00 μB per formula unit

CIF file:
```
data_HgRhPb2
_chemical_formula_sum 'Hg1 Rh1 Pb2'
_cell_length_a 7.247
_cell_length_b 7.247
_cell_length_c 7.247
_cell_angle_alpha 154.27
_cell_angle_beta 142.24
_cell_angle_gamma 46.25
_symmetry_space_group_name_H-M 'P 1'
_symmetry_Int_Tables_number 1
loop_
_symmetry_equiv_pos_as_xyz
'x,y,z'
loop_
_atom_site_label
_atom_site_type_symbol
_atom_site_fract_x
_atom_site_fract_y
_atom_site_fract_z
_atom_site_occupancy
Pb1 Pb 0.178 0.178 0.000 1
Pb2 Pb 0.822 0.822 0.000 1
Hg1 Hg 0.500 0.000 0.500 1
Rh1 Rh 0.000 0.500 0.500 1
```